Record 1
K2CaCI | the Alexandria database | PBEsol | relaxed; density of states at the Fermi level = 2.7 states/eV/f.u.; space-group type = P4/mmm; formation energy without anion corrections = 0.14 eV/atom
1.0
5.885 0.000 0.000
0.000 5.885 0.000
0.000 0.000 4.635
K Ca C I
2 1 1 1
Cartesian
0.000 2.942 0.000
2.942 0.000 0.000
0.000 0.000 2.317
0.000 0.000 0.000
2.942 2.942 2.317


Record 2
Zr6Zn16Cu7 | the Alexandria database | PBEsol | relaxed; density of states at the Fermi level = 14.8 states/eV/f.u.; energy of formation from the pure elements = -25.5 kJ/mol of atoms; space-group type = Fm-3m
1.0
0.000 5.963 5.963
5.963 0.000 5.963
5.963 5.963 0.000
Zr Zn Cu
6 16 7
Cartesian
5.963 5.963 2.328
5.963 2.328 5.963
9.598 5.963 5.963
2.328 5.963 5.963
5.963 9.598 5.963
5.963 5.963 9.598
7.394 4.532 4.532
1.998 1.998 1.998
3.966 3.966 1.998
3.966 1.998 3.966
4.532 4.532 4.532
7.394 7.394 4.532
7.394 4.532 7.394
1.998 3.966 3.966
9.929 7.961 7.961
4.532 7.394 4.532
4.532 4.532 7.394
7.394 7.394 7.394
7.961 9.929 7.961
7.961 7.961 9.929
9.929 9.929 9.929
4.532 7.394 7.394
2.982 2.982 0.000
2.982 0.000 2.982
5.963 2.982 2.982
0.000 2.982 2.982
2.982 5.963 2.982
2.982 2.982 5.963
5.963 5.963 5.963


Record 3
LiGd2Ir | the Alexandria database | PBEsol | relaxed; density of states at the Fermi level = 2.6 states/eV/f.u.; energy of formation from the pure elements = -47.6 kJ/mol of atoms; space-group type = Fm-3m
1.0
6.916 0.000 0.000
0.000 6.916 0.000
0.000 0.000 6.916
Li Gd Ir
4 8 4
Cartesian
0.000 0.000 0.000
0.000 3.458 3.458
3.458 0.000 3.458
3.458 3.458 0.000
1.729 1.729 1.729
1.729 1.729 5.187
1.729 5.187 1.729
1.729 5.187 5.187
5.187 1.729 1.729
5.187 1.729 5.187
5.187 5.187 1.729
5.187 5.187 5.187
0.000 0.000 3.458
0.000 3.458 0.000
3.458 0.000 0.000
3.458 3.458 3.458


Record 4
Rb3Cr20Se32 | the Alexandria database | PBEsol | relaxed; density of states at the Fermi level = 9.8 states/eV/f.u.; space-group type = P-1; formation energy without anion corrections = -0.57 eV/atom
1.0
10.783 0.000 0.000
5.282 10.060 0.000
1.732 3.681 10.721
Rb Cr Se
3 20 32
Cartesian
0.000 0.000 0.000
7.276 8.303 2.951
10.522 5.438 7.770
5.375 9.707 9.427
3.516 5.127 5.518
7.057 11.099 6.699
5.298 7.029 7.880
3.461 2.449 3.987
5.443 4.408 1.389
5.323 3.529 8.207
8.863 9.507 9.377
7.099 5.432 10.556
10.560 10.940 6.662
7.238 2.801 4.058
10.699 8.309 0.165
8.935 4.235 1.344
12.475 10.212 2.514
12.355 9.334 9.332
14.337 11.293 6.734
12.500 6.713 2.840
10.741 2.642 4.021
14.282 8.614 5.202
12.423 4.035 1.294
1.767 3.278 5.606
1.702 1.848 2.397
3.583 5.259 7.976
3.511 4.851 2.943
5.306 7.292 10.452
5.225 6.882 5.433
5.404 6.600 0.308
7.048 8.871 7.801
8.858 11.747 8.291
8.813 10.339 5.092
10.683 13.714 10.665
5.324 3.273 5.625
5.376 1.999 2.412
7.018 5.295 8.104
7.197 4.974 2.982
8.859 7.272 10.473
8.939 6.469 0.248
10.601 8.768 7.739
10.780 8.446 2.617
12.422 11.743 8.308
12.474 10.468 5.096
7.115 0.027 0.056
8.985 3.403 5.629
8.940 1.994 2.429
10.750 4.870 2.920
12.394 7.141 10.413
12.573 6.859 5.288
12.492 6.450 0.269
14.287 8.890 7.778
14.215 8.482 2.744
16.096 11.894 8.324
16.031 10.463 5.115


Record 5
Sb2Br | the Alexandria database | PBEsol | relaxed; energy above the most stable polymorph in this dataset = 24 meV per atom; space-group type = Cm; formation energy without anion corrections = -0.15 eV/atom
1.0
11.184 0.000 0.000
0.000 4.084 0.000
-2.028 0.000 8.652
Sb Br
8 4
Cartesian
0.000 0.000 0.000
-1.385 2.042 6.720
1.738 2.042 3.870
1.464 0.000 5.879
5.592 2.042 0.000
4.207 0.000 6.720
7.330 0.000 3.870
7.056 2.042 5.879
2.449 0.000 0.904
4.350 2.042 3.681
8.041 2.042 0.904
9.941 0.000 3.681


Record 6
BeNiTe2N | the Alexandria database | PBEsol | relaxed; density of states at the Fermi level = 3.0 states/eV/f.u.; space-group type = P4/mmm; formation energy without anion corrections = 0.45 eV/atom
1.0
5.133 0.000 0.000
0.000 5.133 0.000
0.000 0.000 3.034
Be Ni Te N
1 1 2 1
Cartesian
0.000 0.000 0.000
2.566 2.566 1.517
0.000 2.566 0.000
2.566 0.000 0.000
0.000 0.000 1.517


Record 7
CaTiCrP3O12 | the Alexandria database | PBEsol | relaxed; space-group type = R3c; formation energy without anion corrections = -2.52 eV/atom
1.0
4.263 2.461 7.215
-4.263 2.461 7.215
0.000 -4.923 7.215
Ca Ti Cr P O
2 2 2 6 24
Cartesian
0.000 0.000 0.000
0.000 0.000 10.822
0.000 0.000 3.193
0.000 0.000 14.015
0.000 0.000 7.728
0.000 0.000 18.549
-1.806 -2.449 9.073
-3.045 0.328 12.680
-1.218 2.789 9.073
1.239 -2.801 12.680
3.024 -0.340 9.073
1.806 2.474 12.680
-1.593 -0.088 4.180
-2.633 -2.338 10.337
-0.925 -3.729 9.059
-3.656 -1.085 12.636
-1.630 0.123 6.730
0.873 -1.336 4.180
-0.888 -1.214 9.028
-2.767 2.666 9.059
0.708 -1.473 6.730
0.721 1.424 4.180
-1.496 0.204 12.667
-0.607 1.376 9.028
-0.873 -1.336 15.002
0.922 1.350 6.730
0.571 -1.398 12.667
1.496 -0.162 9.028
-0.708 3.450 10.337
-0.721 1.424 15.002
2.768 -2.624 12.636
0.925 1.194 12.667
3.342 -1.111 10.337
1.593 -0.088 15.002
3.692 1.063 9.059
0.888 3.709 12.636


Record 8
KNb3P3O15 | the Alexandria database | PBEsol | relaxed; density of states at the Fermi level = 4.6 states/eV/f.u.; space-group type = P2_1/c; formation energy without anion corrections = -2.42 eV/atom
1.0
6.509 0.000 0.000
0.000 14.899 0.000
-6.349 0.000 13.475
K Nb P O
4 12 12 60
Cartesian
-2.021 2.577 6.570
-5.195 4.873 13.307
5.355 10.026 0.168
2.180 12.322 6.905
0.030 10.786 4.163
-3.144 11.563 10.901
-3.136 7.827 11.568
0.039 14.521 4.830
-3.137 1.675 12.621
0.038 5.775 5.884
0.122 9.124 7.591
3.296 13.224 0.854
0.121 0.378 8.645
3.295 7.072 1.907
3.304 3.336 2.574
0.129 4.113 9.312
-3.156 9.254 8.456
0.018 13.095 1.719
0.032 7.512 2.784
-3.142 14.837 9.521
0.026 3.020 3.647
-3.148 4.430 10.384
3.308 10.469 3.090
0.133 11.879 9.828
3.301 0.062 3.953
0.127 7.387 10.691
0.141 1.804 11.756
3.316 5.645 5.019
-1.194 3.224 2.709
-4.368 4.226 9.446
-5.160 7.667 11.600
-1.986 14.681 4.863
-5.159 1.666 12.702
-1.984 5.784 5.965
-3.212 10.684 9.027
-0.037 11.665 2.290
-3.174 8.156 9.514
0.001 14.193 2.776
0.067 9.007 3.121
-3.107 13.342 9.859
-1.868 9.157 7.617
1.306 13.192 0.880
-3.193 0.814 10.769
-0.018 6.635 4.032
0.051 1.594 4.216
-3.124 5.855 10.953
-1.915 0.321 8.663
1.260 7.129 1.925
-3.249 3.493 11.599
-0.074 3.957 4.861
-3.119 9.735 11.657
0.056 12.613 4.920
1.270 3.331 2.785
-1.904 4.119 9.523
0.133 10.060 5.891
-3.041 12.289 12.628
3.254 0.000 0.000
0.080 0.000 6.737
3.254 7.450 0.000
0.080 7.450 6.737
3.201 2.611 0.847
0.026 4.839 7.584
2.064 10.780 3.952
-1.111 11.568 10.690
0.104 2.286 8.555
3.278 5.164 1.817
0.234 10.942 8.613
3.408 11.406 1.876
-1.100 7.770 11.549
2.074 14.578 4.812
3.283 9.044 2.521
0.108 13.305 9.259
0.178 8.264 9.443
3.352 14.085 2.706
-1.147 1.707 12.595
2.027 5.742 5.857
3.267 1.557 3.616
0.092 5.892 10.354
0.159 0.706 10.698
3.333 6.743 3.961
0.197 3.234 11.185
3.371 4.215 4.448
2.144 9.115 7.510
5.318 13.233 0.773
2.145 0.218 8.612
5.320 7.232 1.875
4.528 10.673 4.029
1.353 11.675 10.766